Material: Na2IrPbF8
Method: DFT, PBE-GGA
State: optimized geometry

abc: 4.368 7.552 5.492
angles: 90.00 92.99 90.00
Positions (direct):
Na 0.000 0.250 0.000
Na 0.000 0.750 0.000
Ir 0.500 0.000 0.500
Pb 0.500 0.500 0.500
F 0.027 0.500 0.247
F 0.139 0.000 0.275
F 0.384 0.198 0.715
F 0.384 0.802 0.715
F 0.616 0.198 0.285
F 0.616 0.802 0.285
F 0.861 0.000 0.725
F 0.973 0.500 0.753

Results
- volume (Å³/atom) = 15.08
- raw formation energy (meV per atom) = -2135.3